1.
! Be2GaBiF PBE relaxed; values from VASP
&SYSTEM
  ibrav = 0, nat = 5, ntyp = 4
/
ATOMIC_SPECIES
Be 9.01 Be.upf
Ga 69.72 Ga.upf
Bi 208.98 Bi.upf
F 19.00 F.upf
CELL_PARAMETERS angstrom
4.438 0.000 0.000
0.000 4.438 0.000
0.000 0.000 4.290
ATOMIC_POSITIONS crystal
Be 0.000 0.500 0.000
Be 0.500 0.000 0.000
Ga 0.000 0.000 0.000
Bi 0.500 0.500 0.500
F 0.000 0.000 0.500
! - Uncorrected formation energy: 0.066 eV per atom
! - SG: P4/mmm
! - Electronic total energy: -3.1807 eV per atom



2.
! LiHg2Os PBE relaxed; values from VASP
&SYSTEM
  ibrav = 0, nat = 4, ntyp = 3
/
ATOMIC_SPECIES
Li 6.94 Li.upf
Hg 200.59 Hg.upf
Os 190.23 Os.upf
CELL_PARAMETERS angstrom
0.000 3.272 3.272
3.272 0.000 3.272
3.272 3.272 0.000
ATOMIC_POSITIONS crystal
Li 0.000 0.000 0.000
Hg 0.250 0.250 0.250
Hg 0.750 0.750 0.750
Os 0.500 0.500 0.500
! - SG: Fm-3m
! - Energy of formation from the pure elements: 0.46 eV per atom
! - Electronic total energy: -2.9808 eV per atom